YCrAs2Rh5 after structural relaxation. Source: Alexandria via LeMat-Bulk, functional PBE-GGA.

- formation enthalpy at 0 K (eV/atom) = -0.162
- crystal system = tetragonal
- total magnetization (μB/atom) = 0.09
- DFT total energy (eV per atom) = -7.0672
- symmetry = P4/mmm, No. 123

The structure in CIF format:
```
data_YCrAs2Rh5
_cell_length_a 3.959
_cell_length_b 3.959
_cell_length_c 10.732
_cell_angle_alpha 90.00
_cell_angle_beta 90.00
_cell_angle_gamma 90.00
_space_group_name_H-M_alt 'P 1'
_space_group_IT_number 1
loop_
_space_group_symop_operation_xyz
'x,y,z'
loop_
_atom_site_label
_atom_site_type_symbol
_atom_site_fract_x
_atom_site_fract_y
_atom_site_fract_z
Y1 Y 0.000 0.000 0.000
Cr1 Cr 0.500 0.500 0.500
As1 As 0.500 0.500 0.222
As2 As 0.500 0.500 0.778
Rh1 Rh 0.000 0.500 0.364
Rh2 Rh 0.000 0.500 0.636
Rh3 Rh 0.500 0.000 0.364
Rh4 Rh 0.500 0.000 0.636
Rh5 Rh 0.500 0.500 0.000
```